A plane-wave DFT calculation with PBE-GGA was carried out for crystalline CoNi2Pt at its relaxed geometry.

ΔE_f	-0.026	eV/atom

a b c (Å): 2.629 2.629 7.102
angles (deg): 90.00 90.00 90.00
Sites, in units of the cell vectors:
Co (0.000, 0.000, 0.000)
Ni (0.000, 0.000, 0.467)
Ni (0.500, 0.500, 0.230)
Pt (0.500, 0.500, 0.735)

***

A plane-wave DFT calculation with PBE-GGA was carried out for crystalline Co5NiPt4 at its relaxed geometry.

ΔE_f	-0.045	eV/atom

a b c (Å): 2.678 3.667 13.311
angles (deg): 90.00 90.00 90.00
Sites, in units of the cell vectors:
Co (0.000, 0.000, 0.000)
Co (0.000, 0.000, 0.203)
Co (0.000, 0.000, 0.412)
Co (0.000, 0.000, 0.588)
Co (0.000, 0.000, 0.797)
Ni (0.500, 0.500, 0.500)
Pt (0.500, 0.500, 0.102)
Pt (0.500, 0.500, 0.308)
Pt (0.500, 0.500, 0.692)
Pt (0.500, 0.500, 0.898)

***

| no. | DFT total energy (eV/atom) |
| --- | --- |
| 1 | -6.2036 |
| 2 | -6.5929 |